1.
Te2IrF after structural relaxation, computed with PBE.

a = 4.631 Å, b = 4.631 Å, c = 4.631 Å
α = 60.00°, β = 60.00°, γ = 60.00°
Element x y z (fractional)
1 Te 0.250 0.250 0.250
2 Te 0.750 0.750 0.750
3 Ir 0.000 0.000 0.000
4 F 0.500 0.500 0.500

## Properties
Distance to the lowest polymorph of the same formula, eV per atom: 0.2060
DFT total energy, eV per atom: -4.81
Formation energy (no corrections), eV/atom: -0.5558
Space-group type: Fm-3m

---

2.
Ca3Se after structural relaxation, computed with PBE.

a = 13.108 Å, b = 13.108 Å, c = 13.108 Å
α = 159.55°, β = 159.55°, γ = 29.08°
Element x y z (fractional)
1 Ca 0.000 0.500 0.500
2 Ca 0.121 0.121 0.000
3 Ca 0.250 0.750 0.500
4 Ca 0.500 0.000 0.500
5 Ca 0.750 0.250 0.500
6 Ca 0.879 0.879 0.000
7 Se 0.421 0.421 0.000
8 Se 0.579 0.579 0.000

## Properties
Distance to the lowest polymorph of the same formula, eV per atom: 0.2858
DFT total energy, eV per atom: -2.99
Formation energy (no corrections), eV/atom: -0.6217
Space-group type: I4/mmm

---

3.
AcHfAs2 after structural relaxation, computed with PBE.

a = 7.350 Å, b = 7.350 Å, c = 7.350 Å
α = 32.49°, β = 32.49°, γ = 32.49°
Element x y z (fractional)
1 Ac 0.000 0.000 0.000
2 Hf 0.500 0.500 0.500
3 As 0.236 0.236 0.236
4 As 0.764 0.764 0.764

## Properties
Distance to the lowest polymorph of the same formula, eV per atom: 0.0000
DFT total energy, eV per atom: -7.02
Space-group type: R-3m

---

4.
TiCoTe6 after structural relaxation, computed with PBE.

a = 6.586 Å, b = 6.586 Å, c = 6.586 Å
α = 61.76°, β = 61.76°, γ = 61.76°
Element x y z (fractional)
1 Ti 0.000 0.000 0.000
2 Co 0.500 0.500 0.500
3 Te 0.079 0.441 0.718
4 Te 0.282 0.921 0.559
5 Te 0.441 0.718 0.079
6 Te 0.559 0.282 0.921
7 Te 0.718 0.079 0.441
8 Te 0.921 0.559 0.282

## Properties
DFT total energy, eV per atom: -4.40
Formation energy (no corrections), eV/atom: -0.1704
Space-group type: R-3

---

5.
ZrRe2AgPb after structural relaxation, computed with PBE.

a = 4.901 Å, b = 4.901 Å, c = 4.977 Å
α = 90.00°, β = 90.00°, γ = 90.00°
Element x y z (fractional)
1 Zr 0.000 0.000 0.000
2 Re 0.000 0.500 0.500
3 Re 0.500 0.000 0.500
4 Ag 0.000 0.000 0.500
5 Pb 0.500 0.500 0.000

## Properties
DFT total energy, eV per atom: -6.00
Space-group type: P4/mmm

---

6.
Co2IrCl after structural relaxation, computed with PBE.

a = 4.296 Å, b = 4.296 Å, c = 4.296 Å
α = 60.00°, β = 60.00°, γ = 60.00°
Element x y z (fractional)
1 Co 0.250 0.250 0.250
2 Co 0.750 0.750 0.750
3 Ir 0.000 0.000 0.000
4 Cl 0.500 0.500 0.500

## Properties
Distance to the lowest polymorph of the same formula, eV per atom: 0.5867
DFT total energy, eV per atom: -5.38
Formation energy (no corrections), eV/atom: 0.8484
Space-group type: Fm-3m

---

| no. | size of the total moment (Bohr magnetons per cell) |
| --- | --- |
| 1 | 0.0 |
| 2 | 0.0 |
| 3 | 0.0 |
| 4 | 0.0 |
| 5 | 2.7 |
| 6 | 4.8 |